DFT (PBE) results for a geometry-optimized SbAuCI2 structure.

The structure in POSCAR format:
```
SbAuCI2
1.0
-4.498 1.073 -2.236
-0.500 -4.928 -1.359
-2.215 -0.887 4.030
I Sb C Au
2 1 1 1
Cartesian
-0.250 -2.464 -0.680 I
-2.249 0.536 -1.118 I
-1.107 -0.444 2.015 Sb
0.000 0.000 0.000 C
-3.606 -2.371 0.218 Au
```

## Properties
symmetry	P4/mmm (123)
formation energy without anion corrections	28.98	kcal/mol of atoms
total magnetic moment	0.000	μB per atom
energy relative to the lowest polymorph listed for this composition	0.000	eV per atom